KNa2SiS4 GGA-PBE relaxed; ρ = 1.901 g/cm3; VASP energy = -33.00 eV/f.u.; calculated volume = 26.4 Å³/atom; space-group type = I-42m, No. 121; crystal system = tetragonal
1.0
-3.5646 3.5646 4.1496
3.5646 -3.5646 4.1496
3.5646 3.5646 -4.1496
K Na Si S
1 2 1 4
Cartesian
0.0000 0.0000 0.0000 K
3.5646 0.0000 2.0748 Na
0.0000 3.5646 2.0748 Na
0.0000 0.0000 4.1496 Si
2.3126 2.3126 -1.1847 S
1.2520 -1.2520 5.3343 S
1.2520 1.2520 2.9650 S
-1.2520 1.2520 5.3343 S

YAg2AuSe GGA-PBE relaxed; ρ = 7.395 g/cm3; VASP energy = -19.22 eV/f.u.; calculated volume = 26.1 Å³/atom; space-group type = P4/mmm, No. 123; crystal system = tetragonal
1.0
4.9086 0.0000 0.0000
0.0000 4.9086 0.0000
0.0000 0.0000 5.4110
Y Ag Au Se
1 2 1 1
Cartesian
0.0000 0.0000 0.0000 Y
0.0000 2.4543 2.7055 Ag
2.4543 0.0000 2.7055 Ag
2.4543 2.4543 0.0000 Au
0.0000 0.0000 2.7055 Se

Co2TeSe3 GGA-PBE relaxed; ρ = 6.796 g/cm3; VASP energy = -29.37 eV/f.u.; calculated volume = 19.6 Å³/atom; space-group type = C2/m, No. 12; crystal system = monoclinic
1.0
6.1517 -1.7860 0.0000
6.1517 1.7860 0.0000
-6.0003 0.0000 10.7275
Co Te Se
4 2 6
Cartesian
2.2625 0.0000 1.2525 Co
-0.6089 0.0000 6.5739 Co
6.9121 0.0000 4.1536 Co
4.0406 0.0000 9.4750 Co
0.0407 0.0000 2.4715 Te
6.2624 0.0000 8.2560 Te
-2.6000 0.0000 7.9624 Se
4.4114 0.0000 0.2287 Se
1.4925 0.0000 5.5121 Se
4.8106 0.0000 5.2154 Se
1.8917 0.0000 10.4988 Se
8.9031 0.0000 2.7652 Se

SrSc2TlCu GGA-PBE relaxed; ρ = 4.856 g/cm3; calculated formation energy = 1.24 eV/atom; calculated volume = 30.5 Å³/atom; space-group type = P4/mmm, No. 123; crystal system = tetragonal
1.0
5.5354 0.0000 0.0000
0.0000 5.5354 0.0000
0.0000 0.0000 4.9713
Sr Sc Tl Cu
1 2 1 1
Cartesian
0.0000 0.0000 0.0000 Sr
0.0000 2.7677 0.0000 Sc
2.7677 0.0000 0.0000 Sc
2.7677 2.7677 2.4856 Tl
0.0000 0.0000 2.4856 Cu

Nb2VSe4S2 GGA-PBE relaxed; ρ = 4.903 g/cm3; VASP energy = -58.81 eV/f.u.; calculated volume = 23.2 Å³/atom; space-group type = P3m1, No. 156; crystal system = trigonal
1.0
3.3891 0.0000 0.0000
-1.6946 2.9351 0.0000
0.0000 0.0000 20.9959
Nb V Se S
2 1 4 2
Cartesian
0.0000 0.0000 0.0000 Nb
0.0000 1.9567 7.1301 Nb
0.0000 1.9567 14.3166 V
0.0000 0.0000 5.4098 Se
0.0000 0.0000 8.8479 Se
0.0000 1.9567 1.7232 Se
0.0000 1.9567 19.2797 Se
0.0000 0.0000 12.8752 S
0.0000 0.0000 15.7596 S

BaCdRu2 GGA-PBE relaxed; ρ = 8.806 g/cm3; calculated formation energy = 0.95 eV/atom; calculated volume = 21.3 Å³/atom; space-group type = Cmmm, No. 65; crystal system = orthorhombic
1.0
3.2274 -4.2666 0.0000
3.2274 4.2666 0.0000
0.0000 0.0000 3.0941
Ba Cd Ru
1 1 2
Cartesian
0.0000 0.0000 0.0000 Ba
3.2274 0.0000 0.0000 Cd
1.6137 2.1333 1.5470 Ru
1.6137 -2.1333 1.5470 Ru